Entry from Alexandria: crystalline Tl2VGa2O6 at its relaxed geometry (PBE+U).

Summary:
Raw total energy (eV per atom): -5.7434
Size of the total moment (μB per formula unit): 1.00

Cell and atoms, written as POSCAR:
```
Tl2VGa2O6
1.0
5.8256 0.0000 0.0000
2.9128 5.0452 0.0000
2.9128 1.6817 5.5375
O Tl Ga V
6 2 2 1
Cartesian
5.8257 1.5792 1.1808
7.3709 2.4713 4.3567
4.2804 2.4713 4.3567
5.8256 5.1477 4.3567
7.3709 4.2556 1.1808
4.2804 4.2556 1.1808
2.9128 1.6817 2.1395
8.7385 5.0452 3.3980
5.8256 3.3634 4.6464
5.8257 3.3634 0.8910
0.0000 0.0000 0.0000
```